Entry from the Alexandria database: crystalline DyTm2Cd at its relaxed geometry (PBE).

CIF file:
```
data_DyTm2Cd
_cell_length_a 3.5266
_cell_length_b 3.5266
_cell_length_c 32.0143
_cell_angle_alpha 90.00
_cell_angle_beta 90.00
_cell_angle_gamma 120.00
_space_group_name_H-M_alt 'R -3 m'
_space_group_IT_number 166
_space_group_name_Hall '-R 3 2"'
loop_
_atom_site_label
_atom_site_type_symbol
_atom_site_fract_x
_atom_site_fract_y
_atom_site_fract_z
Dy1 Dy 0.0000 0.0000 0.0000
Tm1 Tm 0.0000 0.0000 0.2446
Cd1 Cd 0.0000 0.0000 0.5000
```

Summary:
Formation energy in meV/atom: -73
Raw total energy in eV per atom: -3.688
Total magnetization in μB per atom: 0.000
Offset from the most stable computed form in eV/atom: 0.073